Density functional theory data (SCAN) for a crystal of Ba2TeOs relaxed with PBEsol.

a = 6.0113 Å, b = 6.0113 Å, c = 4.9230 Å
α = 94.00°, β = 94.00°, γ = 48.20°
Closest atoms and distances in Å follow each position.
Fractional positions:
Ba  0.0000  0.0000  0.0000  3 Os 3.19-3.49, 2 Te 3.54
Ba  0.7019  0.7019  0.5706  2 Os 3.22, 3 Te 3.32-3.39
Te  0.3940  0.3940  0.4445  2 Os 2.61-2.62
Os  0.3144  0.3144  0.9322  2 Te 2.61-2.62

Values from the calculation:
DOS(E_F), states/eV/atom: 0.22
Raw total energy, eV per atom: -47.294
M_tot, μB/cell: 0.0

---

Density functional theory data (SCAN) for a crystal of Hf2In5 relaxed with PBEsol.

a = 10.1923 Å, b = 10.1923 Å, c = 3.0277 Å
α = 90.00°, β = 90.00°, γ = 90.00°
Closest atoms and distances in Å follow each position.
Fractional positions:
Hf  0.1800  0.3200  0.0000  10 In 3.00-3.11, 2 Hf 3.03
Hf  0.3200  0.8200  0.0000  10 In 3.00-3.11, 2 Hf 3.03
Hf  0.6800  0.1800  0.0000  10 In 3.00-3.11, 2 Hf 3.03
Hf  0.8200  0.6800  0.0000  10 In 3.00-3.11, 2 Hf 3.03
In  0.0000  0.5000  0.5000  4 Hf 3.00, 6 In 3.03-3.04
In  0.0615  0.7920  0.5000  6 In 3.03-3.32, 4 Hf 3.05-3.11
In  0.2080  0.0615  0.5000  6 In 3.03-3.32, 4 Hf 3.05-3.11
In  0.2920  0.5615  0.5000  6 In 3.03-3.32, 4 Hf 3.05-3.11
In  0.4385  0.2920  0.5000  6 In 3.03-3.32, 4 Hf 3.05-3.11
In  0.5000  0.0000  0.5000  4 Hf 3.00, 6 In 3.03-3.04
In  0.5615  0.7080  0.5000  6 In 3.03-3.32, 4 Hf 3.05-3.11
In  0.7080  0.4385  0.5000  6 In 3.03-3.32, 4 Hf 3.05-3.11
In  0.7920  0.9385  0.5000  6 In 3.03-3.32, 4 Hf 3.05-3.11
In  0.9385  0.2080  0.5000  6 In 3.03-3.32, 4 Hf 3.05-3.11

Values from the calculation:
DOS(E_F), states/eV/atom: 0.46
Raw total energy, eV per atom: -42.013
M_tot, μB/cell: 0.0

---

Density functional theory data (SCAN) for a crystal of LiP2Au relaxed with PBEsol.

a = 5.5146 Å, b = 5.5146 Å, c = 5.5146 Å
α = 146.39°, β = 137.56°, γ = 55.19°
Closest atoms and distances in Å follow each position.
Fractional positions:
Li  0.0000  0.0000  0.0000  6 P 2.58-2.85, 2 Au 2.75
P  0.2918  0.7918  0.5000  2 P 2.31
P  0.4633  0.4633  0.0000  2 P 2.31, 4 Li 2.58
Au  0.6928  0.1928  0.5000  6 P 2.73-2.75, 2 Li 2.75

Values from the calculation:
Energy relative to the lowest polymorph listed for this composition, meV/atom: 408.5
DOS(E_F), states/eV/atom: 0.41
M_tot, μB/cell: 0.0

---

Density functional theory data (SCAN) for a crystal of TiIN2O relaxed with PBEsol.

a = 4.0844 Å, b = 4.0844 Å, c = 3.9281 Å
α = 90.00°, β = 90.00°, γ = 90.00°
Closest atoms and distances in Å follow each position.
Fractional positions:
Ti  0.0000  0.0000  0.0000  8 N 2.83, 4 O 2.89
I  0.5000  0.5000  0.5000  2 O 1.96, 4 N 2.04
N  0.0000  0.5000  0.5000  2 I 2.04
N  0.5000  0.0000  0.5000  2 I 2.04
O  0.5000  0.5000  0.0000  2 I 1.96

Values from the calculation:
DOS(E_F), states/eV/atom: 0.73
Raw total energy, eV per atom: -14.508
M_tot, μB/cell: 1.6

---

Density functional theory data (SCAN) for a crystal of ZrScTe2 relaxed with PBEsol.

a = 3.7937 Å, b = 3.7937 Å, c = 6.8210 Å
α = 90.00°, β = 90.00°, γ = 90.00°
Closest atoms and distances in Å follow each position.
Fractional positions:
Zr  0.0000  0.0000  0.0000  5 Te 2.91-2.96
Sc  0.5000  0.5000  0.2772  5 Te 2.89-3.01
Te  0.0000  0.0000  0.4337  4 Sc 2.89, 1 Zr 2.96
Te  0.5000  0.5000  0.8363  4 Zr 2.91, 1 Sc 3.01

Values from the calculation:
DOS(E_F), states/eV/atom: 0.22
Raw total energy, eV per atom: -30.940
M_tot, μB/cell: 0.0

---

Density functional theory data (SCAN) for a crystal of As3HS relaxed with PBEsol.

a = 4.7359 Å, b = 4.7359 Å, c = 4.7359 Å
α = 90.00°, β = 90.00°, γ = 90.00°
Closest atoms and distances in Å follow each position.
Fractional positions:
As  0.0000  0.0000  0.5000  2 S 2.37
As  0.0000  0.5000  0.0000  2 S 2.37
As  0.5000  0.0000  0.0000  2 S 2.37
H  0.5000  0.5000  0.5000  12 As 3.35
S  0.0000  0.0000  0.0000  6 As 2.37

Values from the calculation:
DOS(E_F), states/eV/atom: 0.66
Raw total energy, eV per atom: -13.408
M_tot, μB/cell: 0.3

---

Density functional theory data (SCAN) for a crystal of CuSiMo2 relaxed with PBEsol.

a = 2.6596 Å, b = 2.6596 Å, c = 7.9386 Å
α = 90.00°, β = 90.00°, γ = 102.93°
Closest atoms and distances in Å follow each position.
Fractional positions:
Cu  0.0000  0.0000  0.0000  8 Mo 2.62-2.91, 4 Cu 2.66
Si  0.0000  0.0000  0.5000  8 Mo 2.55-2.84, 4 Si 2.66
Mo  0.5000  0.5000  0.2563  4 Si 2.55-2.84, 2 Cu 2.62, 4 Mo 2.66
Mo  0.5000  0.5000  0.7437  4 Si 2.55-2.84, 2 Cu 2.62, 4 Mo 2.66

Values from the calculation:
DOS(E_F), states/eV/atom: 0.61
Raw total energy, eV per atom: -23.603
M_tot, μB/cell: 0.0

---

Density functional theory data (SCAN) for a crystal of LiAlP2 relaxed with PBEsol.

a = 2.6251 Å, b = 2.6251 Å, c = 8.9227 Å
α = 90.00°, β = 90.00°, γ = 90.00°
Closest atoms and distances in Å follow each position.
Fractional positions:
Li  0.0000  0.0000  0.0000  4 P 2.62, 4 Li 2.63
Al  0.5000  0.5000  0.2622  4 P 2.62, 4 Al 2.63
P  0.0000  0.0000  0.4688  4 Al 2.62, 4 P 2.63
P  0.5000  0.5000  0.7923  4 Li 2.62, 4 P 2.63

Values from the calculation:
DOS(E_F), states/eV/atom: 0.43
Raw total energy, eV per atom: -7.566
M_tot, μB/cell: 0.0

---

Density functional theory data (SCAN) for a crystal of TlPdRu2Au relaxed with PBEsol.

a = 4.8001 Å, b = 4.8001 Å, c = 4.8808 Å
α = 90.00°, β = 90.00°, γ = 90.00°
Closest atoms and distances in Å follow each position.
Fractional positions:
Tl  0.0000  0.0000  0.0000  4 Pd 3.39, 8 Ru 3.42
Pd  0.5000  0.5000  0.0000  2 Au 2.44
Ru  0.0000  0.5000  0.5000  2 Au 2.40
Ru  0.5000  0.0000  0.5000  2 Au 2.40
Au  0.5000  0.5000  0.5000  4 Ru 2.40, 2 Pd 2.44

Values from the calculation:
DOS(E_F), states/eV/atom: 0.99
Raw total energy, eV per atom: -47.250
M_tot, μB/cell: 4.1

---

Density functional theory data (SCAN) for a crystal of Pr2Ga7Ni relaxed with PBEsol.

a = 4.2543 Å, b = 4.2543 Å, c = 10.2747 Å
α = 90.00°, β = 90.00°, γ = 90.00°
Closest atoms and distances in Å follow each position.
Fractional positions:
Pr  0.0000  0.0000  0.0000  12 Ga 3.14-3.27, 4 Ni 3.32
Pr  0.5000  0.5000  0.4870  16 Ga 3.19-3.50
Ga  0.0000  0.0000  0.3839  5 Ga 2.44-2.61
Ga  0.0000  0.0000  0.6210  5 Ga 2.44-2.55
Ga  0.0000  0.5000  0.2361  2 Ni 2.36, 2 Ga 2.61
Ga  0.0000  0.5000  0.7579  4 Ga 2.55-2.66
Ga  0.5000  0.0000  0.2361  2 Ni 2.36, 2 Ga 2.61
Ga  0.5000  0.0000  0.7579  4 Ga 2.55-2.66
Ga  0.5000  0.5000  0.9126  1 Ni 2.30
Ni  0.5000  0.5000  0.1366  5 Ga 2.30-2.36

Values from the calculation:
DOS(E_F), states/eV/atom: 0.23
Raw total energy, eV per atom: -22.378
M_tot, μB/cell: 0.0

---

Density functional theory data (SCAN) for a crystal of ScNbNiSe2 relaxed with PBEsol.

a = 4.6588 Å, b = 4.6588 Å, c = 4.5171 Å
α = 90.00°, β = 90.00°, γ = 90.00°
Closest atoms and distances in Å follow each position.
Fractional positions:
Sc  0.0000  0.0000  0.0000  8 Se 3.24, 4 Nb 3.29
Nb  0.5000  0.5000  0.0000  2 Ni 2.26
Ni  0.5000  0.5000  0.5000  2 Nb 2.26, 4 Se 2.33
Se  0.0000  0.5000  0.5000  2 Ni 2.33
Se  0.5000  0.0000  0.5000  2 Ni 2.33

Values from the calculation:
DOS(E_F), states/eV/atom: 0.58
Raw total energy, eV per atom: -20.605
M_tot, μB/cell: 0.0

---

Density functional theory data (SCAN) for a crystal of Sc3Ag relaxed with PBEsol.

a = 5.9003 Å, b = 5.9003 Å, c = 5.9003 Å
α = 146.01°, β = 131.67°, γ = 60.40°
Closest atoms and distances in Å follow each position.
Fractional positions:
Sc  0.0000  0.0000  0.0000  4 Ag 2.97, 8 Sc 3.31-3.32
Sc  0.2772  0.7772  0.5000  2 Ag 2.85, 4 Sc 3.02
Sc  0.7228  0.2228  0.5000  2 Ag 2.85, 4 Sc 3.02
Ag  0.5000  0.5000  0.0000  8 Sc 2.85-2.97

Values from the calculation:
Energy relative to the lowest polymorph listed for this composition, meV/atom: 45.6
DOS(E_F), states/eV/atom: 1.09
M_tot, μB/cell: 0.0

---

Q: Which value of M_tot does entry 1 give?
A: 0.0 μB/cell